[1]
{
  "formula": "Pm5TeSe5",
  "functional": "PBE",
  "state": "optimized geometry",
  "cell": [[-0.6644, 5.4931, 2.3426], [-5.9713, -2.5791, -3.3515], [0.0023, -3.3267, 7.8012]],
  "species": ["Se", "Pm", "Se", "Pm", "Se", "Pm", "Se", "Pm", "Te", "Se", "Pm"],
  "fractional_positions": [[0.6712, 0.3425, 0.8387], [0.8339, 0.6677, 0.1809], [0.0000, 0.0000, 0.5000], [0.5000, 0.0000, 0.0000], [0.3381, 0.6761, 0.6658], [0.1661, 0.3323, 0.8191], [0.3288, 0.6575, 0.1613], [0.8302, 0.6605, 0.6530], [0.0000, 0.0000, 0.0000], [0.6619, 0.3239, 0.3342], [0.1698, 0.3395, 0.3470]],
  "rho_g_cm3": 6.41,
  "formation_energy_uncorrected_ev_per_atom": -1.7787
}

***

[2]
{
  "formula": "Pm3Te2Se",
  "functional": "PBE",
  "state": "optimized geometry",
  "cell": [[-2.2790, 2.8035, 2.3794], [-1.5036, -1.2986, -3.8429], [-10.5433, -16.9260, 9.8448]],
  "species": ["Te", "Pm", "Te", "Se", "Te", "Pm", "Pm", "Te", "Pm", "Se", "Pm", "Pm"],
  "fractional_positions": [[0.3333, 0.6667, 0.9148], [0.0000, 0.0000, 0.0000], [0.6667, 0.3333, 0.0852], [0.0000, 0.0000, 0.2500], [0.3333, 0.6667, 0.5852], [0.6667, 0.3333, 0.8309], [0.6667, 0.3333, 0.6691], [0.6667, 0.3333, 0.4148], [0.0000, 0.0000, 0.5000], [0.0000, 0.0000, 0.7500], [0.3333, 0.6667, 0.1691], [0.3333, 0.6667, 0.3309]],
  "rho_g_cm3": 7.09,
  "relative_energy_mev_per_atom": 38,
  "formation_energy_uncorrected_ev_per_atom": -1.5033
}

***

[3]
{
  "formula": "PmTe2Se",
  "functional": "PBE",
  "state": "optimized geometry",
  "cell": [[-2.5481, -1.2500, -3.2307], [2.1585, -3.7076, -0.2680], [-7.0598, -4.8558, 10.3168]],
  "species": ["Se", "Te", "Te", "Pm", "Se", "Te", "Te", "Pm"],
  "fractional_positions": [[0.2937, 0.2500, 0.5868], [0.4194, 0.7500, 0.8376], [0.0807, 0.7500, 0.1625], [0.1804, 0.2500, 0.3618], [0.7063, 0.7500, 0.4132], [0.5806, 0.2500, 0.1624], [0.9193, 0.2500, 0.8375], [0.8196, 0.7500, 0.6382]],
  "rho_g_cm3": 6.50,
  "formation_energy_uncorrected_ev_per_atom": -1.1286
}

***

[4]
{
  "formula": "Pm4TeSe3",
  "functional": "PBE",
  "state": "optimized geometry",
  "cell": [[4.2192, 0.0000, 0.0000], [-2.1096, 3.6539, 0.0000], [0.0000, 0.0000, 28.5119]],
  "species": ["Pm", "Pm", "Te", "Pm", "Se", "Pm", "Pm", "Se", "Se", "Pm", "Pm", "Se", "Pm", "Se", "Se", "Te"],
  "fractional_positions": [[0.0000, 0.0000, 0.1768], [0.3333, 0.6667, 0.4374], [0.6667, 0.3333, 0.7500], [0.0000, 0.0000, 0.6768], [0.0000, 0.0000, 0.5000], [0.0000, 0.0000, 0.8232], [0.6667, 0.3333, 0.9374], [0.6667, 0.3333, 0.3804], [0.3333, 0.6667, 0.8804], [0.3333, 0.6667, 0.0626], [0.0000, 0.0000, 0.3232], [0.0000, 0.0000, 0.0000], [0.6667, 0.3333, 0.5626], [0.6667, 0.3333, 0.1196], [0.3333, 0.6667, 0.6196], [0.3333, 0.6667, 0.2500]],
  "rho_g_cm3": 7.14,
  "relative_energy_mev_per_atom": 0,
  "formation_energy_uncorrected_ev_per_atom": -1.7451
}

***

[5]
{
  "formula": "Pm5Te4Se",
  "functional": "PBE",
  "state": "optimized geometry",
  "cell": [[4.3255, 0.0000, -0.6096], [-0.0859, 4.3246, -0.6096], [0.0924, 0.0943, 16.3067]],
  "species": ["Pm", "Te", "Te", "Pm", "Se", "Pm", "Pm", "Te", "Pm", "Te"],
  "fractional_positions": [[0.0887, 0.0887, 0.1773], [0.8087, 0.8087, 0.6173], [0.1913, 0.1913, 0.3827], [0.7100, 0.7100, 0.4199], [0.0000, 0.0000, 0.0000], [0.5000, 0.5000, 0.0000], [0.2900, 0.2900, 0.5801], [0.3978, 0.3978, 0.7955], [0.9113, 0.9113, 0.8227], [0.6022, 0.6022, 0.2045]],
  "rho_g_cm3": 7.14,
  "relative_energy_mev_per_atom": 2,
  "formation_energy_uncorrected_ev_per_atom": -1.4856
}

***

[6]
{
  "formula": "Pm4TeSe3",
  "functional": "PBE",
  "state": "optimized geometry",
  "cell": [[6.0459, 0.0000, 0.0000], [0.0000, 6.0459, 0.0000], [0.0000, 0.0000, 6.0459]],
  "species": ["Pm", "Pm", "Pm", "Se", "Se", "Te", "Pm", "Se"],
  "fractional_positions": [[0.5000, 0.0000, 0.0000], [0.0000, 0.0000, 0.5000], [0.0000, 0.5000, 0.0000], [0.0000, 0.5000, 0.5000], [0.5000, 0.0000, 0.5000], [0.0000, 0.0000, 0.0000], [0.5000, 0.5000, 0.5000], [0.5000, 0.5000, 0.0000]],
  "rho_g_cm3": 7.10,
  "relative_energy_mev_per_atom": 68,
  "formation_energy_uncorrected_ev_per_atom": -1.6767
}

***

[7]
{
  "formula": "Pm8Te3Se4",
  "functional": "PBE",
  "state": "optimized geometry",
  "cell": [[-2.0590, 2.6948, 7.9248], [1.6220, -8.3389, -1.4338], [7.6330, 2.0759, -3.4135]],
  "species": ["Te", "Te", "Se", "Pm", "Se", "Pm", "Pm", "Pm", "Pm", "Se", "Se", "Pm", "Pm", "Te", "Pm"],
  "fractional_positions": [[0.5000, 0.5000, 0.5000], [0.5000, 0.0000, 0.5000], [0.0000, 0.0000, 0.5000], [0.5000, 0.2362, 0.7638], [0.5000, 0.0000, 0.0000], [0.0000, 0.7599, 0.2401], [0.0000, 0.2401, 0.7599], [0.9807, 0.2320, 0.2320], [0.0193, 0.7680, 0.7680], [0.0000, 0.0000, 0.0000], [0.0000, 0.5000, 0.0000], [0.5000, 0.7638, 0.2362], [0.4784, 0.2280, 0.2280], [0.5000, 0.5000, 0.0000], [0.5216, 0.7720, 0.7720]],
  "rho_g_cm3": 6.83,
  "formation_energy_uncorrected_ev_per_atom": -1.4885
}

***

[8]
{
  "formula": "Pm8TeSe6",
  "functional": "PBE",
  "state": "optimized geometry",
  "cell": [[4.2491, 0.0000, 0.0000], [0.0000, 9.3033, -5.3713], [0.0000, 0.0000, 10.7426]],
  "species": ["Te", "Pm", "Se", "Se", "Pm", "Se", "Pm", "Pm", "Pm", "Pm", "Se", "Pm", "Se", "Se", "Pm"],
  "fractional_positions": [[0.5000, 0.0000, 0.0000], [0.7410, 0.7078, 0.6719], [0.7543, 0.8689, 0.5177], [0.2457, 0.3512, 0.8689], [0.7410, 0.9642, 0.2922], [0.7543, 0.4823, 0.3512], [0.7466, 0.3333, 0.6667], [0.2590, 0.2922, 0.3281], [0.2590, 0.0358, 0.7078], [0.7410, 0.3281, 0.0358], [0.7543, 0.6488, 0.1311], [0.2534, 0.6667, 0.3333], [0.2457, 0.1311, 0.4823], [0.2457, 0.5177, 0.6488], [0.2590, 0.6719, 0.9642]],
  "rho_g_cm3": 6.89,
  "formation_energy_uncorrected_ev_per_atom": -1.4462
}

***

[9]
{
  "formula": "Pm3TeSe2",
  "functional": "PBE",
  "state": "optimized geometry",
  "cell": [[-1.4562, 6.6062, 3.0999], [-6.3500, -1.0296, -3.7336], [1.4455, -3.9436, 6.1384]],
  "species": ["Pm", "Pm", "Te", "Pm", "Te", "Se", "Se", "Pm", "Pm", "Pm", "Se", "Se"],
  "fractional_positions": [[0.9933, 0.1301, 0.3177], [0.4933, 0.3177, 0.1301], [0.2500, 0.5748, 0.4252], [0.5067, 0.6823, 0.8699], [0.7500, 0.4252, 0.5748], [0.7500, 0.0827, 0.9173], [0.7500, 0.7408, 0.2592], [0.0000, 0.5000, 0.0000], [0.5000, 0.0000, 0.5000], [0.0067, 0.8699, 0.6823], [0.2500, 0.2592, 0.7408], [0.2500, 0.9173, 0.0827]],
  "rho_g_cm3": 7.15,
  "relative_energy_mev_per_atom": 27,
  "formation_energy_uncorrected_ev_per_atom": -1.6783
}

***

[10]
{
  "formula": "Pm5Te4Se",
  "functional": "PBE",
  "state": "optimized geometry",
  "cell": [[6.2494, 0.0000, 0.0000], [3.1247, 6.9834, 0.0000], [3.1247, 0.0000, 6.9834]],
  "species": ["Pm", "Pm", "Te", "Te", "Pm", "Pm", "Te", "Se", "Te", "Pm"],
  "fractional_positions": [[0.0996, 0.6260, 0.1769], [0.5012, 0.0000, 0.0000], [0.1945, 0.2154, 0.3975], [0.4099, 0.3975, 0.7846], [0.7256, 0.1769, 0.3740], [0.9025, 0.3740, 0.8231], [0.5921, 0.6025, 0.2154], [0.0011, 0.0000, 0.0000], [0.8075, 0.7846, 0.6025], [0.2765, 0.8231, 0.6260]],
  "rho_g_cm3": 7.16,
  "relative_energy_mev_per_atom": 0,
  "formation_energy_uncorrected_ev_per_atom": -1.4880
}

***

[11]
{
  "formula": "Pm3TeSe2",
  "functional": "PBE",
  "state": "optimized geometry",
  "cell": [[-0.2158, -1.7237, 3.8816], [-2.8008, -1.1384, -2.9907], [13.0737, -15.7271, -6.2569]],
  "species": ["Pm", "Pm", "Te", "Pm", "Se", "Pm", "Te", "Se", "Se", "Se", "Pm", "Pm"],
  "fractional_positions": [[0.6667, 0.3333, 0.8449], [0.3333, 0.6667, 0.1551], [0.0000, 0.0000, 0.2500], [0.6667, 0.3333, 0.6551], [0.6667, 0.3333, 0.0785], [0.0000, 0.0000, 0.0000], [0.0000, 0.0000, 0.7500], [0.3333, 0.6667, 0.5785], [0.3333, 0.6667, 0.9215], [0.6667, 0.3333, 0.4215], [0.0000, 0.0000, 0.5000], [0.3333, 0.6667, 0.3449]],
  "rho_g_cm3": 7.14,
  "relative_energy_mev_per_atom": 0,
  "formation_energy_uncorrected_ev_per_atom": -1.7054
}

***

[12]
{
  "formula": "Pm7Te4Se4",
  "functional": "PBE",
  "state": "optimized geometry",
  "cell": [[-5.1400, 0.3106, -5.3711], [-10.1482, -2.8632, 4.3920], [-4.4535, 10.5148, -0.2840]],
  "species": ["Pm", "Te", "Se", "Se", "Pm", "Se", "Te", "Pm", "Pm", "Se", "Te", "Pm", "Pm", "Te", "Pm", "Pm", "Pm", "Se", "Te", "Te", "Pm", "Pm", "Pm", "Se", "Se", "Se", "Pm", "Te", "Te", "Pm"],
  "fractional_positions": [[0.2484, 0.0000, 0.0000], [0.8716, 0.2568, 0.0000], [0.3987, 0.5000, 0.2026], [0.1013, 0.7974, 0.5000], [0.1168, 0.3832, 0.3832], [0.8987, 0.5000, 0.2026], [0.5000, 0.8245, 0.1755], [0.0000, 0.7162, 0.2838], [0.7162, 0.2838, 0.2838], [0.3987, 0.2026, 0.5000], [0.3245, 0.1755, 0.1755], [0.5000, 0.3832, 0.6168], [0.2901, 0.0000, 0.4197], [0.1284, 0.0000, 0.7432], [0.5000, 0.6168, 0.3832], [0.8832, 0.6168, 0.6168], [0.2838, 0.7162, 0.7162], [0.8987, 0.2026, 0.5000], [0.1284, 0.7432, 0.0000], [0.5000, 0.1755, 0.8245], [0.7099, 0.0000, 0.5803], [0.7516, 0.0000, 0.0000], [0.7099, 0.5803, 0.0000], [0.1013, 0.5000, 0.7974], [0.6013, 0.7974, 0.5000], [0.6013, 0.5000, 0.7974], [0.2901, 0.4197, 0.0000], [0.8716, 0.0000, 0.2568], [0.6755, 0.8245, 0.8245], [0.0000, 0.2838, 0.7162]],
  "rho_g_cm3": 7.05,
  "formation_energy_uncorrected_ev_per_atom": -1.5327
}

***

[13]
{
  "formula": "Pm3Te2Se",
  "functional": "PBE",
  "state": "optimized geometry",
  "cell": [[-2.9633, -1.0579, 2.9954], [4.4889, -1.9481, 3.7528], [-0.2984, 7.6195, -0.7545]],
  "species": ["Te", "Pm", "Pm", "Te", "Se", "Pm"],
  "fractional_positions": [[0.6744, 0.1744, 0.3489], [0.0000, 0.0000, 0.0000], [0.3543, 0.3543, 0.7087], [0.3256, 0.8256, 0.6511], [0.0000, 0.5000, 0.0000], [0.6457, 0.6457, 0.2913]],
  "rho_g_cm3": 7.15,
  "relative_energy_mev_per_atom": 0,
  "formation_energy_uncorrected_ev_per_atom": -1.5412
}

***

[14]
{
  "formula": "Pm7TeSe5",
  "functional": "PBE",
  "state": "optimized geometry",
  "cell": [[-2.4924, 3.1638, 0.9791], [-4.2781, -5.6623, -1.3672], [1.0667, -6.6116, 24.0804]],
  "species": ["Te", "Pm", "Pm", "Te", "Se", "Pm", "Se", "Se", "Pm", "Se", "Pm", "Se", "Se", "Pm", "Se", "Pm", "Pm", "Se", "Se", "Pm", "Pm", "Se", "Pm", "Pm", "Pm", "Pm"],
  "fractional_positions": [[0.8135, 0.6269, 0.2502], [0.6388, 0.2777, 0.4630], [0.8103, 0.6205, 0.8226], [0.1871, 0.3742, 0.7501], [0.2784, 0.5568, 0.0713], [0.8100, 0.6201, 0.6774], [0.4478, 0.8956, 0.8580], [0.0005, 0.0010, 0.0000], [0.1902, 0.3804, 0.3226], [0.7222, 0.4444, 0.5713], [0.3617, 0.7234, 0.9630], [0.2781, 0.5561, 0.4287], [0.0001, 0.0002, 0.5000], [0.9086, 0.8172, 0.3838], [0.7225, 0.4449, 0.9287], [0.3615, 0.7229, 0.5371], [0.4838, 0.9676, 0.2499], [0.5531, 0.1062, 0.1420], [0.4476, 0.8951, 0.6420], [0.5167, 0.0334, 0.7500], [0.9092, 0.8184, 0.1159], [0.5527, 0.1053, 0.3580], [0.0919, 0.1838, 0.8839], [0.0915, 0.1829, 0.6159], [0.6392, 0.2784, 0.0371], [0.1906, 0.3812, 0.1774]],
  "rho_g_cm3": 7.12,
  "formation_energy_uncorrected_ev_per_atom": -1.6209
}

***

[15]
{
  "formula": "Pm4Te3Se2",
  "functional": "PBE",
  "state": "optimized geometry",
  "cell": [[-2.8464, 1.5078, -2.5845], [0.7075, -7.4067, -1.8008], [-6.5138, -0.8281, 6.6907]],
  "species": ["Te", "Te", "Se", "Se", "Pm", "Te", "Pm", "Pm", "Pm"],
  "fractional_positions": [[0.3998, 0.7997, 0.5865], [0.6002, 0.2003, 0.4135], [0.7039, 0.4077, 0.8093], [0.2961, 0.5923, 0.1907], [0.0713, 0.1426, 0.6780], [0.0000, 0.0000, 0.0000], [0.3410, 0.6821, 0.8912], [0.9287, 0.8574, 0.3220], [0.6590, 0.3179, 0.1088]],
  "rho_g_cm3": 6.60,
  "formation_energy_uncorrected_ev_per_atom": -1.5876
}

***

[16]
{
  "formula": "Pm5Te5Se2",
  "functional": "PBE",
  "state": "optimized geometry",
  "cell": [[4.3071, 0.0000, 0.0000], [-2.1536, 6.9444, -2.0532], [0.0000, 0.1366, 13.0075]],
  "species": ["Pm", "Pm", "Te", "Te", "Se", "Te", "Se", "Te", "Te", "Pm", "Pm", "Pm"],
  "fractional_positions": [[0.3152, 0.6303, 0.1955], [0.0000, 0.0000, 0.0000], [0.5000, 0.0000, 0.5000], [0.6644, 0.3288, 0.0517], [0.9605, 0.9209, 0.2094], [0.2533, 0.5066, 0.6486], [0.0395, 0.0791, 0.7906], [0.7467, 0.4934, 0.3514], [0.3356, 0.6712, 0.9483], [0.8909, 0.7819, 0.5908], [0.6848, 0.3697, 0.8045], [0.1091, 0.2181, 0.4092]],
  "rho_g_cm3": 6.47,
  "formation_energy_uncorrected_ev_per_atom": -1.5632
}

***

[17]
{
  "formula": "Pm5Te5Se",
  "functional": "PBE",
  "state": "optimized geometry",
  "cell": [[6.2486, 0.0000, 0.0000], [-3.1243, 6.9581, -0.0790], [0.0000, -2.6983, 8.3383]],
  "species": ["Te", "Te", "Pm", "Pm", "Pm", "Pm", "Te", "Pm", "Se", "Te", "Te"],
  "fractional_positions": [[0.3380, 0.6760, 0.1790], [0.6677, 0.3355, 0.3383], [0.8392, 0.6784, 0.1604], [0.1576, 0.3151, 0.3212], [0.8424, 0.6849, 0.6788], [0.1608, 0.3216, 0.8396], [0.3323, 0.6645, 0.6617], [0.5000, 0.0000, 0.0000], [0.0000, 0.0000, 0.0000], [0.6620, 0.3240, 0.8210], [0.0000, 0.0000, 0.5000]],
  "rho_g_cm3": 6.63,
  "formation_energy_uncorrected_ev_per_atom": -1.5200
}

***

[18]
{
  "formula": "Pm3TeSe6",
  "functional": "PBE",
  "state": "optimized geometry",
  "cell": [[7.1414, 0.0000, 0.0000], [0.0000, 9.1129, -0.0300], [0.0000, -2.0628, 8.8764]],
  "species": ["Pm", "Pm", "Te", "Pm", "Se", "Se", "Pm", "Pm", "Se", "Se", "Se", "Se", "Se", "Pm", "Se", "Se", "Se", "Se", "Te", "Se"],
  "fractional_positions": [[0.3793, 0.4108, 0.5892], [0.4952, 0.9139, 0.7126], [0.4690, 0.8325, 0.1675], [0.9952, 0.0861, 0.2874], [0.1843, 0.3713, 0.2983], [0.2079, 0.1038, 0.5709], [0.8793, 0.5892, 0.4108], [0.4952, 0.2874, 0.0861], [0.1224, 0.7663, 0.2337], [0.6843, 0.2983, 0.3713], [0.2079, 0.4291, 0.8962], [0.6224, 0.2337, 0.7663], [0.6843, 0.6287, 0.7017], [0.9952, 0.7126, 0.9139], [0.2401, 0.0091, 0.9909], [0.7401, 0.9909, 0.0091], [0.7079, 0.5709, 0.1038], [0.1843, 0.7017, 0.6287], [0.9690, 0.1675, 0.8325], [0.7079, 0.8962, 0.4291]],
  "rho_g_cm3": 5.96,
  "formation_energy_uncorrected_ev_per_atom": -1.3331
}

***

[19]
{
  "formula": "Pm4TeSe2",
  "functional": "PBE",
  "state": "optimized geometry",
  "cell": [[4.1292, 0.0000, 0.0000], [-2.0646, 6.8923, 0.0000], [0.0000, 0.0000, 14.3332]],
  "species": ["Pm", "Pm", "Se", "Se", "Te", "Pm", "Pm", "Pm", "Te", "Pm", "Se", "Pm", "Se", "Pm"],
  "fractional_positions": [[0.2230, 0.4460, 0.6206], [0.5000, 0.0000, 0.0000], [0.1380, 0.2760, 0.4387], [0.8620, 0.7240, 0.9387], [0.3992, 0.7985, 0.2500], [0.9284, 0.8567, 0.7500], [0.0716, 0.1433, 0.2500], [0.7770, 0.5540, 0.3794], [0.6008, 0.2015, 0.7500], [0.2230, 0.4460, 0.8794], [0.1380, 0.2760, 0.0613], [0.7770, 0.5540, 0.1206], [0.8620, 0.7240, 0.5613], [0.5000, 0.0000, 0.5000]],
  "rho_g_cm3": 7.05,
  "formation_energy_uncorrected_ev_per_atom": -1.4063
}